# 1
Nd6SiGe2S3 | PBE | optimized geometry

a b c (Å): 9.394 9.394 8.406
angles (deg): 103.38 103.38 25.82
Sites, in units of the cell vectors:
Nd 0.001 0.001 0.251
Nd 0.333 0.333 0.418
Nd 0.334 0.334 0.916
Nd 0.666 0.666 0.084
Nd 0.667 0.667 0.582
Nd 0.999 0.999 0.749
Si 0.500 0.500 0.500
Ge 0.167 0.167 0.833
Ge 0.833 0.833 0.167
S 0.167 0.167 0.333
S 0.500 0.500 0.000
S 0.833 0.833 0.667



# 2
Nd6SnGe2S3 | PBE | optimized geometry

a b c (Å): 9.492 9.492 8.530
angles (deg): 103.34 103.34 25.68
Sites, in units of the cell vectors:
Nd 0.001 0.001 0.234
Nd 0.328 0.328 0.413
Nd 0.333 0.333 0.917
Nd 0.667 0.667 0.083
Nd 0.672 0.672 0.587
Nd 0.999 0.999 0.766
Sn 0.500 0.500 0.500
Ge 0.166 0.166 0.833
Ge 0.834 0.834 0.167
S 0.167 0.167 0.332
S 0.500 0.500 0.000
S 0.833 0.833 0.668



# 3
Nd6Ge2TeS3 | PBE | optimized geometry

a b c (Å): 9.430 9.430 8.500
angles (deg): 102.03 102.03 25.93
Sites, in units of the cell vectors:
Nd 0.002 0.002 0.275
Nd 0.326 0.326 0.906
Nd 0.333 0.333 0.415
Nd 0.667 0.667 0.585
Nd 0.674 0.674 0.094
Nd 0.998 0.998 0.725
Ge 0.167 0.167 0.334
Ge 0.833 0.833 0.666
Te 0.500 0.500 0.000
S 0.164 0.164 0.835
S 0.500 0.500 0.500
S 0.836 0.836 0.165



# 4
Nd8Ge3Te4S | PBE | optimized geometry

a b c (Å): 8.857 8.857 8.857
angles (deg): 58.79 58.79 58.79
Sites, in units of the cell vectors:
Nd 0.239 0.741 0.741
Nd 0.242 0.242 0.242
Nd 0.259 0.259 0.761
Nd 0.259 0.761 0.259
Nd 0.741 0.239 0.741
Nd 0.741 0.741 0.239
Nd 0.758 0.758 0.758
Nd 0.761 0.259 0.259
Ge 0.000 0.000 0.500
Ge 0.000 0.500 0.000
Ge 0.500 0.000 0.000
Te 0.000 0.000 0.000
Te 0.000 0.500 0.500
Te 0.500 0.000 0.500
Te 0.500 0.500 0.000
S 0.500 0.500 0.500



Theoretical density list, top to bottom, in g/cm3: 6.0; 6.3; 6.3; 6.7
Calculated total energy list, top to bottom, in eV per atom: -6.05; -5.92; -6.00; -5.67
Formation energy without anion corrections list, top to bottom, in eV per atom: -1.41; -1.40; -1.56; -1.37